(1)
The following is a DFT calculation (GGA-PBE) of a relaxed structure of Ag2PdO.

Cell: 5.0136 5.0136 12.8588 Å, 90.00 90.00 90.00°
Closest atoms and distances in Å follow each position.
Space group I-42d (No. 122)
Inequivalent atoms, fractional coordinates:
Ag  0.1229  0.2500  0.1250 x8  2 O 2.13
Pd  0.0000  0.0000  0.5000 x4  4 Ag 2.78
O  0.0000  0.0000  0.0000 x4  4 Ag 2.13

Properties
Energy relative to the elements, uncorrected (eV/atom): 0.48
Total magnetization (μB per formula unit): 0.00

=====

(2)
The following is a DFT calculation (GGA-PBE) of a relaxed structure of AgPdO2.

Cell: 4.5843 4.5843 11.5257 Å, 90.00 90.00 90.00°
Closest atoms and distances in Å follow each position.
Space group I-42d (No. 122)
Inequivalent atoms, fractional coordinates:
Ag  0.0000  0.0000  0.0000 x4  4 O 2.32
Pd  0.0000  0.0000  0.5000 x4  4 O 2.04
O  0.1935  0.2500  0.6250 x8  2 Pd 2.04

Properties
Energy relative to the elements, uncorrected (eV/atom): 0.09
Total magnetization (μB per formula unit): 0.00

=====

(3)
The following is a DFT calculation (GGA-PBE) of a relaxed structure of AgPdO2.

Cell: 3.0843 6.3686 11.3765 Å, 90.00 90.00 90.00°
Closest atoms and distances in Å follow each position.
Space group P2_12_12_1 (No. 19)
Inequivalent atoms, fractional coordinates:
Ag  0.2460  0.2111  0.3828 x4  2 O 2.10-2.11
Pd  0.2463  0.7948  0.6288 x4  4 O 2.02-2.05
O  0.2464  0.5212  0.3193 x4  2 Pd 2.02, 1 Ag 2.10
O  0.2463  0.8902  0.4282 x4  2 Pd 2.05, 1 Ag 2.11

Properties
Energy relative to the elements, uncorrected (eV/atom): -0.20
Total magnetization (μB per formula unit): 0.00

=====

(4)
The following is a DFT calculation (GGA-PBE) of a relaxed structure of AgPdO.

Cell: 2.8814 2.8814 9.9667 Å, 90.00 90.00 90.00°
Closest atoms and distances in Å follow each position.
Space group I4mm (No. 107)
Inequivalent atoms, fractional coordinates:
Ag  0.0000  0.0000  0.0000 x2  4 O 2.71, 4 Ag 2.88, 5 Pd 2.90-2.92
Pd  0.0000  0.0000  0.2907 x2  4 O 2.32
O  0.0000  0.0000  0.6792 x2  4 Pd 2.32

Properties
Energy relative to the elements, uncorrected (eV/atom): 0.19
Total magnetization (μB per formula unit): 1.37

=====

(5)
The following is a DFT calculation (GGA-PBE) of a relaxed structure of AgPd3O6.

Cell: 7.3579 10.3239 3.1619 Å, 90.00 90.00 90.00°
Closest atoms and distances in Å follow each position.
Space group Cmmm (No. 65)
Inequivalent atoms, fractional coordinates:
Ag  0.0000  0.0000  0.0000 x2  4 O 2.27
Pd  0.0000  0.5000  0.0000 x2  4 O 1.99
Pd  0.2500  0.2500  0.5000 x4  6 O 2.05-2.07
O  0.0000  0.1580  0.5000 x4  2 Pd 2.07, 2 Ag 2.27
O  0.2023  0.3714  0.0000 x8  3 Pd 1.99-2.05

Properties
Energy relative to the elements, uncorrected (eV/atom): -0.35
Total magnetization (μB per formula unit): 0.00

=====

(6)
The following is a DFT calculation (GGA-PBE) of a relaxed structure of AgPdO2.

Cell: 3.0580 3.4078 5.4941 Å, 90.00 90.00 90.00°
Closest atoms and distances in Å follow each position.
Space group Pmmm (No. 47)
Inequivalent atoms, fractional coordinates:
Ag  0.0000  0.0000  0.0000 x1  4 O 2.21
Pd  0.5000  0.5000  0.5000 x1  4 O 2.03
O  0.0000  0.5000  0.2559 x2  2 Pd 2.03, 2 Ag 2.21

Properties
Energy relative to the elements, uncorrected (eV/atom): -0.29
Total magnetization (μB per formula unit): 0.00

=====

(7)
The following is a DFT calculation (GGA-PBE) of a relaxed structure of AgPdO3.

Cell: 6.4971 5.5228 6.9423 Å, 90.00 99.58 90.00°
Closest atoms and distances in Å follow each position.
Space group P2_1/c (No. 14)
Inequivalent atoms, fractional coordinates:
Ag  0.0517  0.1490  0.2267 x4  4 O 2.14-2.26
Pd  0.4254  0.7375  0.0741 x4  6 O 1.99-2.11
O  0.1310  0.6597  0.5686 x4  1 Pd 1.99, 2 Ag 2.14-2.19
O  0.3013  0.0867  0.4647 x4  2 Pd 2.02-2.06, 1 Ag 2.14
O  0.4099  0.5550  0.3269 x4  3 Pd 2.04-2.11

Properties
Energy relative to the elements, uncorrected (eV/atom): -0.19
Total magnetization (μB per formula unit): 0.00

=====

(8)
The following is a DFT calculation (GGA-PBE) of a relaxed structure of Ag3PdO6.

Cell: 5.4472 5.4472 14.9859 Å, 90.00 90.00 120.00°
Closest atoms and distances in Å follow each position.
Space group R3 (No. 146, hexagonal axes)
Inequivalent atoms, fractional coordinates:
Ag  0.0000  0.0000  0.0000 x3  6 O 2.13-2.16
Ag  0.0000  0.0000  0.2011 x3  6 O 2.23-2.43
Ag  0.0000  0.0000  0.4863 x3  6 O 2.22-2.31
Pd  0.0000  0.0000  0.6846 x3  6 O 2.03-2.05
O  0.0188  0.7185  0.5980 x9  1 Pd 2.05, 2 Ag 2.13-2.23
O  0.0319  0.3368  0.7531 x9  1 Pd 2.03, 2 Ag 2.16-2.22

Properties
Energy relative to the elements, uncorrected (eV/atom): 0.01
Total magnetization (μB per formula unit): 0.00

=====

(9)
The following is a DFT calculation (GGA-PBE) of a relaxed structure of AgPd2O.

Cell: 5.1071 5.1071 12.0417 Å, 90.00 90.00 90.00°
Closest atoms and distances in Å follow each position.
Space group I-42d (No. 122)
Inequivalent atoms, fractional coordinates:
Ag  0.0000  0.0000  0.0000 x4  8 Pd 3.07-3.39
Pd  0.0399  0.2500  0.6250 x8  2 O 1.98
O  0.0000  0.0000  0.5000 x4  4 Pd 1.98

Properties
Energy relative to the elements, uncorrected (eV/atom): 0.12
Total magnetization (μB per formula unit): 0.00

=====

(10)
The following is a DFT calculation (GGA-PBE) of a relaxed structure of Pm2AgPdO6.

Cell: 5.7835 5.7835 14.3905 Å, 90.00 90.00 120.00°
Closest atoms and distances in Å follow each position.
Space group R3 (No. 146, hexagonal axes)
Inequivalent atoms, fractional coordinates:
Pm  0.0000  0.0000  0.0000 x3  6 O 2.32-2.46
Pm  0.0000  0.0000  0.4954 x3  6 O 2.35-2.46
Ag  0.0000  0.0000  0.2253 x3  6 O 2.23-2.34
Pd  0.0000  0.0000  0.7155 x3  6 O 2.05-2.06
O  0.0599  0.3364  0.7860 x9  1 Pd 2.06
O  0.0746  0.6954  0.2923 x9  1 Pd 2.05, 1 Ag 2.23

Properties
Energy relative to the elements, uncorrected (eV/atom): -1.77
Total magnetization (μB per formula unit): 0.01

=====

(11)
The following is a DFT calculation (GGA-PBE) of a relaxed structure of Pm2Ag3PdO6.

Cell: 6.1110 10.1635 6.3268 Å, 90.00 115.30 90.00°
Closest atoms and distances in Å follow each position.
Space group C2/m (No. 12)
Inequivalent atoms, fractional coordinates:
Pm  0.0000  0.1709  0.0000 x4  6 O 2.33-2.42
Ag  0.0000  0.0000  0.5000 x2  4 O 2.42
Ag  0.0000  0.3369  0.5000 x4  4 O 2.46-2.49
Pd  0.0000  0.5000  0.0000 x2  6 O 2.07-2.31
O  0.2049  0.5000  0.8098 x4  1 Pd 2.07
O  0.2355  0.1636  0.7840 x8  1 Pd 2.31, 2 Pm 2.33-2.37, 2 Ag 2.42-2.49

Properties
Energy relative to the elements, uncorrected (eV/atom): -1.34
Total magnetization (μB per formula unit): 0.00

=====

(12)
The following is a DFT calculation (GGA-PBE) of a relaxed structure of Pm2Ag2PdO6.

Cell: 5.9446 10.5685 6.2088 Å, 90.00 95.21 90.00°
Closest atoms and distances in Å follow each position.
Space group C2/m (No. 12)
Inequivalent atoms, fractional coordinates:
Pm  0.0000  0.1604  0.0000 x4  6 O 2.30-2.44
Ag  0.0000  0.3584  0.5000 x4  2 O 2.09
Pd  0.0000  0.5000  0.0000 x2  6 O 2.06-2.09
O  0.1259  0.3510  0.8256 x8  1 Pd 2.09, 1 Ag 2.09
O  0.1826  0.0000  0.8365 x4  1 Pd 2.06, 2 Pm 2.30

Properties
Energy relative to the elements, uncorrected (eV/atom): -1.58
Total magnetization (μB per formula unit): 0.00

=====

(13)
The following is a DFT calculation (GGA-PBE) of a relaxed structure of PmAg3Pd4O12.

Cell: 7.8197 7.8197 7.8197 Å, 90.00 90.00 90.00°
Closest atoms and distances in Å follow each position.
Space group Im-3 (No. 204)
Inequivalent atoms, fractional coordinates:
Pm  0.0000  0.0000  0.0000 x2  12 O 2.63
Ag  0.0000  0.0000  0.5000 x6  4 O 2.11
Pd  0.2500  0.2500  0.2500 x8  6 O 2.08
O  0.0000  0.1694  0.2906 x24  2 Pd 2.08, 1 Ag 2.11

Properties
Energy relative to the elements, uncorrected (eV/atom): -0.64
Total magnetization (μB per formula unit): 0.00

=====

(14)
The following is a DFT calculation (GGA-PBE) of a relaxed structure of PmAgPdO4.

Cell: 6.3380 7.2293 9.1570 Å, 90.00 90.00 90.00°
Closest atoms and distances in Å follow each position.
Space group Imma (No. 74)
Inequivalent atoms, fractional coordinates:
Pm  0.0000  0.0000  0.0000 x4  6 O 2.33-2.39
Ag  0.0000  0.2500  0.3635 x4  4 O 2.26-2.46
Pd  0.2500  0.2500  0.7500 x4  6 O 2.07-2.09
O  0.0000  0.0620  0.7439 x8  2 Pd 2.09
O  0.2290  0.2500  0.9761 x8  1 Pd 2.07, 1 Ag 2.26

Properties
Energy relative to the elements, uncorrected (eV/atom): -1.30
Total magnetization (μB per formula unit): 0.00

=====

(15)
The following is a DFT calculation (GGA-PBE) of a relaxed structure of Pr2AgPdO6.

Cell: 5.6431 6.2263 9.4934 Å, 90.00 125.35 90.00°
Closest atoms and distances in Å follow each position.
Space group P2_1/c (No. 14)
Inequivalent atoms, fractional coordinates:
Pr  0.2241  0.0821  0.2495 x4  7 O 2.40-2.68
Ag  0.0000  0.0000  0.5000 x2  6 O 2.14-2.38
Pd  0.5000  0.0000  0.0000 x2  6 O 2.03-2.07
O  0.1460  0.1675  0.9493 x4  1 Pd 2.05
O  0.2792  0.7105  0.9388 x4  1 Pd 2.07
O  0.3813  0.0513  0.7556 x4  1 Pd 2.03, 1 Ag 2.14

Properties
Energy relative to the elements, uncorrected (eV/atom): -1.79
Total magnetization (μB per formula unit): 0.97

=====

(16)
The following is a DFT calculation (GGA-PBE) of a relaxed structure of Ag3Pd3PtO8.

Cell: 11.0577 6.3846 6.5201 Å, 90.00 115.95 90.00°
Closest atoms and distances in Å follow each position.
Space group C2/m (No. 12)
Inequivalent atoms, fractional coordinates:
Ag  0.0000  0.0000  0.0000 x2  4 O 2.48
Ag  0.2500  0.2500  0.0000 x4  2 O 2.19
Pd  0.0000  0.5000  0.5000 x2  6 O 2.07-2.20
Pd  0.2500  0.2500  0.5000 x4  4 O 2.06-2.07
Pt  0.0000  0.0000  0.5000 x2  6 O 2.04-2.05
O  0.0422  0.2332  0.3285 x8  1 Pt 2.04, 2 Pd 2.07-2.20
O  0.1954  0.0000  0.7450 x4  1 Pt 2.05, 2 Ag 2.19
O  0.2079  0.5000  0.6582 x4  3 Pd 2.06-2.07

Properties
Energy relative to the elements, uncorrected (eV/atom): -0.23
Total magnetization (μB per formula unit): 0.69

=====

(17)
The following is a DFT calculation (GGA-PBE) of a relaxed structure of AgPdPtO6.

Cell: 5.2600 5.2600 9.1789 Å, 90.00 90.00 120.00°
Closest atoms and distances in Å follow each position.
Space group P-31c (No. 163)
Inequivalent atoms, fractional coordinates:
Ag  0.0000  0.0000  0.0000 x2  6 O 2.27
Pd  0.3333  0.6667  0.2500 x2  6 O 2.01
Pt  0.3333  0.6667  0.7500 x2  6 O 1.99
O  0.0038  0.3699  0.6300 x12  1 Pt 1.99, 1 Pd 2.01

Properties
Energy relative to the elements, uncorrected (eV/atom): -0.19
Total magnetization (μB per formula unit): 0.00

=====

(18)
The following is a DFT calculation (GGA-PBE) of a relaxed structure of Pu2AgPdO8.

Cell: 6.5185 6.5185 7.8766 Å, 90.00 90.00 90.00°
Closest atoms and distances in Å follow each position.
Space group I-4m2 (No. 119)
Inequivalent atoms, fractional coordinates:
Pu  0.0000  0.0000  0.0000 x2  4 O 2.01
Pu  0.0000  0.5000  0.2500 x2  4 O 1.93
Ag  0.0000  0.0000  0.5000 x2  4 O 2.25
Pd  0.0000  0.5000  0.7500 x2  4 O 2.09
O  0.0000  0.2049  0.2698 x8  1 Pu 1.93
O  0.0000  0.3040  0.9607 x8  1 Pu 2.01, 1 Pd 2.09

Properties
Energy relative to the elements, uncorrected (eV/atom): -1.55
Total magnetization (μB per formula unit): 1.09

=====

(19)
The following is a DFT calculation (GGA-PBE) of a relaxed structure of PuAg2Pd2O6.

Cell: 6.0204 9.2016 6.2585 Å, 90.00 104.43 90.00°
Closest atoms and distances in Å follow each position.
Space group C2/m (No. 12)
Inequivalent atoms, fractional coordinates:
Pu  0.0000  0.0000  0.0000 x2  6 O 2.09-2.32
Ag  0.0000  0.1699  0.5000 x4  2 O 2.18
Pd  0.0000  0.3343  0.0000 x4  4 O 2.05-2.07
O  0.1459  0.1684  0.2135 x8  1 Pd 2.07, 1 Pu 2.09, 1 Ag 2.18
O  0.1964  0.5000  0.1671 x4  2 Pd 2.05

Properties
Energy relative to the elements, uncorrected (eV/atom): -0.96
Total magnetization (μB per formula unit): 1.99

=====

(20)
The following is a DFT calculation (GGA-PBE) of a relaxed structure of PuAgPdO6.

Cell: 5.3180 5.3180 10.1660 Å, 90.00 90.00 120.00°
Closest atoms and distances in Å follow each position.
Space group P-31c (No. 163)
Inequivalent atoms, fractional coordinates:
Pu  0.3333  0.6667  0.2500 x2  6 O 2.04
Ag  0.0000  0.0000  0.0000 x2  6 O 2.37
Pd  0.3333  0.6667  0.7500 x2  6 O 2.05
O  0.0017  0.3551  0.1413 x12  1 Pu 2.04, 1 Pd 2.05

Properties
Energy relative to the elements, uncorrected (eV/atom): -1.21
Total magnetization (μB per formula unit): 1.01